Record 1
An optimized crystal structure of TmPuAs2, computed with GGA-PBE.

a = 7.0619 Å, b = 7.0619 Å, c = 7.0619 Å
α = 33.82°, β = 33.82°, γ = 33.82°
With the nearest neighbours (Å) after each atom.
Fractional coordinates of all 4 atoms:
Tm (0.0000, 0.0000, 0.0000)  6 As 2.89
Pu (0.5000, 0.5000, 0.5000)  6 As 2.90
As (0.2505, 0.2505, 0.2505)  3 Tm 2.89, 3 Pu 2.90
As (0.7495, 0.7495, 0.7495)  3 Tm 2.89, 3 Pu 2.90

## Properties
Distance to the lowest polymorph of the same formula (meV/atom): 0
Formation enthalpy at 0 K (eV/f.u.): -5.046
Mass density (g/cm³): 9.61
Total DFT energy (no corrections) (eV per cell): -33.15
Symmetry: R-3m (166)

Record 2
An optimized crystal structure of Li2TcSbN, computed with GGA-PBE.

a = 4.1550 Å, b = 4.1550 Å, c = 3.9141 Å
α = 90.00°, β = 90.00°, γ = 90.00°
With the nearest neighbours (Å) after each atom.
Fractional coordinates of all 5 atoms:
Li (0.0000, 0.5000, 0.0000)  2 N 2.08
Li (0.5000, 0.0000, 0.0000)  2 N 2.08
Tc (0.0000, 0.0000, 0.5000)  2 N 1.96
Sb (0.5000, 0.5000, 0.5000)  8 Li 2.85, 4 Tc 2.94
N (0.0000, 0.0000, 0.0000)  2 Tc 1.96, 4 Li 2.08

## Properties
Raw formation energy (eV/atom): -0.338
Mass density (g/cm³): 6.09
Total DFT energy (no corrections) (eV per cell): -28.33
Symmetry: P4/mmm (123)

Record 3
An optimized crystal structure of Mn3NiB, computed with GGA-PBE.

a = 3.7691 Å, b = 3.7691 Å, c = 3.7691 Å
α = 90.00°, β = 90.00°, γ = 90.00°
With the nearest neighbours (Å) after each atom.
Fractional coordinates of all 5 atoms:
Mn (0.0000, 0.0000, 0.5000)  2 B 1.88
Mn (0.0000, 0.5000, 0.0000)  2 B 1.88
Mn (0.5000, 0.0000, 0.0000)  2 B 1.88
Ni (0.5000, 0.5000, 0.5000)  12 Mn 2.67
B (0.0000, 0.0000, 0.0000)  6 Mn 1.88

## Properties
Distance to the lowest polymorph of the same formula (meV/atom): 0
Formation enthalpy at 0 K (eV/f.u.): 1.583
Mass density (g/cm³): 7.27
Total DFT energy (no corrections) (eV per cell): -38.38
Symmetry: Pm-3m (221)

Record 4
An optimized crystal structure of SrAg2Au2, computed with GGA-PBE.

a = 7.9386 Å, b = 7.9386 Å, c = 3.4940 Å
α = 90.00°, β = 90.00°, γ = 90.00°
With the nearest neighbours (Å) after each atom.
Fractional coordinates of all 10 atoms:
Sr (0.0000, 0.0000, 0.0000)  4 Au 3.12, 8 Ag 3.43, 2 Sr 3.49
Sr (0.5000, 0.5000, 0.0000)  4 Au 3.12, 8 Ag 3.43, 2 Sr 3.49
Ag (0.1678, 0.3322, 0.5000)  6 Au 2.89-2.94
Ag (0.3322, 0.8322, 0.5000)  6 Au 2.89-2.94
Ag (0.6678, 0.1678, 0.5000)  6 Au 2.89-2.94
Ag (0.8322, 0.6678, 0.5000)  6 Au 2.89-2.94
Au (0.1277, 0.6277, 0.0000)  1 Au 2.87, 6 Ag 2.89-2.94, 2 Sr 3.12
Au (0.3723, 0.1277, 0.0000)  1 Au 2.87, 6 Ag 2.89-2.94, 2 Sr 3.12
Au (0.6277, 0.8723, 0.0000)  1 Au 2.87, 6 Ag 2.89-2.94, 2 Sr 3.12
Au (0.8723, 0.3723, 0.0000)  1 Au 2.87, 6 Ag 2.89-2.94, 2 Sr 3.12

## Properties
Distance to the lowest polymorph of the same formula (meV/atom): 160
Formation enthalpy at 0 K (eV/f.u.): -1.114
Mass density (g/cm³): 10.52
Total DFT energy (no corrections) (eV per cell): -30.11
Symmetry: P4/mbm (127)

Record 5
An optimized crystal structure of CaSmHgPt, computed with GGA-PBE.

a = 5.1497 Å, b = 5.1497 Å, c = 5.1497 Å
α = 60.00°, β = 60.00°, γ = 60.00°
With the nearest neighbours (Å) after each atom.
Fractional coordinates of all 4 atoms:
Ca (0.0000, 0.0000, 0.0000)  4 Hg 3.15, 4 Pt 3.15
Sm (0.5000, 0.5000, 0.5000)  4 Hg 3.15, 4 Pt 3.15
Hg (0.7500, 0.7500, 0.7500)  4 Sm 3.15, 4 Ca 3.15
Pt (0.2500, 0.2500, 0.2500)  4 Ca 3.15, 4 Sm 3.15

## Properties
Distance to the lowest polymorph of the same formula (meV/atom): 47
Formation enthalpy at 0 K (eV/f.u.): -2.978
Mass density (g/cm³): 10.08
Total DFT energy (no corrections) (eV per cell): -16.04
Symmetry: F-43m (216)

Record 6
An optimized crystal structure of AsC2, computed with GGA-PBE.

a = 3.0977 Å, b = 3.0977 Å, c = 3.9559 Å
α = 90.00°, β = 90.00°, γ = 120.00°
With the nearest neighbours (Å) after each atom.
Fractional coordinates of all 3 atoms:
As (0.0000, 0.0000, 0.0000)  6 C 2.22
C (0.6667, 0.3333, 0.3321)  1 C 1.33
C (0.6667, 0.3333, 0.6679)  1 C 1.33

## Properties
Distance to the lowest polymorph of the same formula (meV/atom): 1018
Formation enthalpy at 0 K (eV/f.u.): 4.108
Mass density (g/cm³): 5.00
Total DFT energy (no corrections) (eV per cell): -18.99
Symmetry: P-6m2 (187)

Record 7
An optimized crystal structure of Ba3Na2SbO6, computed with GGA-PBE.

a = 6.1606 Å, b = 6.1606 Å, c = 7.0232 Å
α = 90.00°, β = 90.00°, γ = 120.00°
With the nearest neighbours (Å) after each atom.
Fractional coordinates of all 12 atoms:
Ba (0.0000, 0.0000, 0.0000)  6 O 2.84
Ba (0.3333, 0.6667, 0.6132)  3 O 2.76
Ba (0.6667, 0.3333, 0.3868)  3 O 2.76
Na (0.3333, 0.6667, 0.1685)  3 O 2.22
Na (0.6667, 0.3333, 0.8315)  3 O 2.22
Sb (0.0000, 0.0000, 0.5000)  6 O 2.04
O (0.1544, 0.3088, 0.3288)  1 Sb 2.04, 1 Na 2.22
O (0.1544, 0.8456, 0.3288)  1 Sb 2.04, 1 Na 2.22
O (0.3088, 0.1544, 0.6712)  1 Sb 2.04, 1 Na 2.22
O (0.6912, 0.8456, 0.3288)  1 Sb 2.04, 1 Na 2.22
O (0.8456, 0.1544, 0.6712)  1 Sb 2.04, 1 Na 2.22
O (0.8456, 0.6912, 0.6712)  1 Sb 2.04, 1 Na 2.22

## Properties
Raw formation energy (eV/atom): -1.944
Mass density (g/cm³): 4.86
Total DFT energy (no corrections) (eV per cell): -65.60
Symmetry: P-3m1 (164)

Record 8
An optimized crystal structure of Pa2RhPb, computed with GGA-PBE.

a = 3.2975 Å, b = 3.2975 Å, c = 8.6501 Å
α = 90.00°, β = 90.00°, γ = 90.00°
With the nearest neighbours (Å) after each atom.
Fractional coordinates of all 4 atoms:
Pa (0.0000, 0.0000, 0.2117)  4 Rh 2.96, 4 Pa 3.30
Pa (0.0000, 0.0000, 0.7883)  4 Rh 2.96, 4 Pa 3.30
Rh (0.5000, 0.5000, 0.0000)  8 Pa 2.96, 4 Rh 3.30
Pb (0.5000, 0.5000, 0.5000)  4 Pb 3.30, 8 Pa 3.41

## Properties
Distance to the lowest polymorph of the same formula (meV/atom): 0
Formation enthalpy at 0 K (eV/f.u.): -1.208
Mass density (g/cm³): 13.63
Total DFT energy (no corrections) (eV per cell): -31.26
Symmetry: P4/mmm (123)

Record 9
An optimized crystal structure of Ca2TlPb, computed with GGA-PBE.

a = 10.3856 Å, b = 10.3856 Å, c = 10.3856 Å
α = 21.14°, β = 21.14°, γ = 21.14°
With the nearest neighbours (Å) after each atom.
Fractional coordinates of all 4 atoms:
Ca (0.2476, 0.2476, 0.2476)  3 Tl 3.30, 3 Pb 3.41
Ca (0.7524, 0.7524, 0.7524)  3 Tl 3.30, 3 Pb 3.41
Tl (0.5000, 0.5000, 0.5000)  6 Ca 3.30
Pb (0.0000, 0.0000, 0.0000)  6 Ca 3.41, 6 Pb 3.81

## Properties
Distance to the lowest polymorph of the same formula (meV/atom): 143
Formation enthalpy at 0 K (eV/f.u.): -1.390
Mass density (g/cm³): 6.40
Total DFT energy (no corrections) (eV per cell): -11.47
Symmetry: R-3m (166)

Record 10
An optimized crystal structure of CuP3Ru, computed with GGA-PBE.

a = 4.3630 Å, b = 4.3630 Å, c = 4.3630 Å
α = 90.00°, β = 90.00°, γ = 90.00°
With the nearest neighbours (Å) after each atom.
Fractional coordinates of all 5 atoms:
Cu (0.0000, 0.0000, 0.0000)  6 P 2.18
P (0.0000, 0.0000, 0.5000)  2 Cu 2.18
P (0.0000, 0.5000, 0.0000)  2 Cu 2.18
P (0.5000, 0.0000, 0.0000)  2 Cu 2.18
Ru (0.5000, 0.5000, 0.5000)  12 P 3.09

## Properties
Formation enthalpy at 0 K (eV/f.u.): 5.678
Mass density (g/cm³): 5.15
Total DFT energy (no corrections) (eV per cell): -23.92
Symmetry: Pm-3m (221)

Record 11
An optimized crystal structure of Mg2TiFe3S8, computed with GGA-PBE.

a = 6.9496 Å, b = 6.9496 Å, c = 6.9496 Å
α = 61.68°, β = 61.68°, γ = 61.68°
With the nearest neighbours (Å) after each atom.
Fractional coordinates of all 14 atoms:
Mg (0.1250, 0.1250, 0.1250)  4 S 2.41
Mg (0.8750, 0.8750, 0.8750)  4 S 2.41
Ti (0.5000, 0.5000, 0.5000)  6 S 2.44
Fe (0.0000, 0.5000, 0.5000)  6 S 2.32-2.33
Fe (0.5000, 0.0000, 0.5000)  6 S 2.32-2.33
Fe (0.5000, 0.5000, 0.0000)  6 S 2.32-2.33
S (0.2548, 0.2548, 0.7087)  2 Fe 2.32, 1 Mg 2.41, 1 Ti 2.44
S (0.2548, 0.7087, 0.2548)  2 Fe 2.32, 1 Mg 2.41, 1 Ti 2.44
S (0.2686, 0.2686, 0.2686)  3 Fe 2.33, 1 Mg 2.41
S (0.2913, 0.7452, 0.7452)  2 Fe 2.32, 1 Mg 2.41, 1 Ti 2.44
S (0.7087, 0.2548, 0.2548)  2 Fe 2.32, 1 Mg 2.41, 1 Ti 2.44
S (0.7314, 0.7314, 0.7314)  3 Fe 2.33, 1 Mg 2.41
S (0.7452, 0.2913, 0.7452)  2 Fe 2.32, 1 Mg 2.41, 1 Ti 2.44
S (0.7452, 0.7452, 0.2913)  2 Fe 2.32, 1 Mg 2.41, 1 Ti 2.44

## Properties
Raw formation energy (eV/atom): -0.740
Mass density (g/cm³): 3.51
Total DFT energy (no corrections) (eV per cell): -79.86
Symmetry: R-3m (166)

Record 12
An optimized crystal structure of Er2NpScS4, computed with GGA-PBE.

a = 6.6388 Å, b = 3.8333 Å, c = 6.6553 Å
α = 90.00°, β = 109.29°, γ = 90.00°
With the nearest neighbours (Å) after each atom.
Fractional coordinates of all 8 atoms:
Er (0.0000, 0.0000, 0.0000)  6 S 2.75-2.76
Er (0.5000, 0.5000, 0.0000)  6 S 2.69-2.70
Np (0.0000, 0.5000, 0.5000)  6 S 2.73
Sc (0.5000, 0.0000, 0.5000)  6 S 2.67
S (0.2565, 0.0000, 0.7490)  1 Sc 2.67, 3 Er 2.70-2.75, 2 Np 2.73
S (0.2593, 0.5000, 0.2559)  2 Sc 2.67, 3 Er 2.69-2.76, 1 Np 2.73
S (0.7407, 0.5000, 0.7441)  2 Sc 2.67, 3 Er 2.69-2.76, 1 Np 2.73
S (0.7435, 0.0000, 0.2510)  1 Sc 2.67, 3 Er 2.70-2.75, 2 Np 2.73

## Properties
Raw formation energy (eV/atom): -1.783
Mass density (g/cm³): 7.74
Total DFT energy (no corrections) (eV per cell): -59.17
Symmetry: P2/m (10)

Question: Which of these has the lowest mass density?
Answer: Mg2TiFe3S8

Question: What is the total DFT energy (no corrections) in the sixth record?
Answer: -18.99 eV per cell

Please write out number 8 again, unchanged.
An optimized crystal structure of Pa2RhPb, computed with GGA-PBE.

a = 3.2975 Å, b = 3.2975 Å, c = 8.6501 Å
α = 90.00°, β = 90.00°, γ = 90.00°
With the nearest neighbours (Å) after each atom.
Fractional coordinates of all 4 atoms:
Pa (0.0000, 0.0000, 0.2117)  4 Rh 2.96, 4 Pa 3.30
Pa (0.0000, 0.0000, 0.7883)  4 Rh 2.96, 4 Pa 3.30
Rh (0.5000, 0.5000, 0.0000)  8 Pa 2.96, 4 Rh 3.30
Pb (0.5000, 0.5000, 0.5000)  4 Pb 3.30, 8 Pa 3.41

## Properties
Distance to the lowest polymorph of the same formula (meV/atom): 0
Formation enthalpy at 0 K (eV/f.u.): -1.208
Mass density (g/cm³): 13.63
Total DFT energy (no corrections) (eV per cell): -31.26
Symmetry: P4/mmm (123)

Question: Look up the total DFT energy (no corrections) of the eleventh one.
Answer: -79.86 eV per cell